No. 1
Computed, not measured: Nb2SnN after structural relaxation at the PBE level of DFT.

Results
Density of states at the Fermi level (states/eV per cell): 2.74
Formation energy from raw total energies (meV/atom): 733
Symmetry: Fm-3m, No. 225

Unit cell a=4.5173 b=4.5173 c=4.5173 alpha=60.00 beta=60.00 gamma=60.00
Fractional coordinates of all 4 atoms:
Nb: 0.2500 0.2500 0.2500
Nb: 0.7500 0.7500 0.7500
Sn: 0.0000 0.0000 0.0000
N: 0.5000 0.5000 0.5000



No. 2
Computed, not measured: Cs3Al5I12 after structural relaxation at the PBE level of DFT.

Results
Density of states at the Fermi level (states/eV per cell): 13.97
Formation energy from raw total energies (meV/atom): -694
Symmetry: Ia-3d, No. 230

Unit cell a=17.1861 b=17.1861 c=17.1861 alpha=109.47 beta=109.47 gamma=109.47
Fractional coordinates of all 80 atoms:
Cs: 0.1250 0.2500 0.3750
Cs: 0.1250 0.3750 0.7500
Cs: 0.2500 0.3750 0.1250
Cs: 0.2500 0.8750 0.6250
Cs: 0.3750 0.1250 0.2500
Cs: 0.3750 0.7500 0.1250
Cs: 0.6250 0.2500 0.8750
Cs: 0.6250 0.8750 0.7500
Cs: 0.7500 0.1250 0.3750
Cs: 0.7500 0.6250 0.8750
Cs: 0.8750 0.6250 0.2500
Cs: 0.8750 0.7500 0.6250
Al: 0.0000 0.0000 0.0000
Al: 0.0000 0.0000 0.5000
Al: 0.0000 0.5000 0.0000
Al: 0.0000 0.5000 0.5000
Al: 0.1250 0.7500 0.8750
Al: 0.1250 0.8750 0.2500
Al: 0.2500 0.1250 0.8750
Al: 0.2500 0.6250 0.3750
Al: 0.3750 0.2500 0.6250
Al: 0.3750 0.6250 0.7500
Al: 0.5000 0.0000 0.0000
Al: 0.5000 0.0000 0.5000
Al: 0.5000 0.5000 0.0000
Al: 0.5000 0.5000 0.5000
Al: 0.6250 0.3750 0.2500
Al: 0.6250 0.7500 0.3750
Al: 0.7500 0.3750 0.6250
Al: 0.7500 0.8750 0.1250
Al: 0.8750 0.1250 0.7500
Al: 0.8750 0.2500 0.1250
I: 0.0000 0.1938 0.1078
I: 0.0000 0.3062 0.8923
I: 0.0000 0.6938 0.1077
I: 0.0000 0.8062 0.8922
I: 0.0861 0.6938 0.6938
I: 0.0861 0.8922 0.3923
I: 0.1078 0.0000 0.1938
I: 0.1077 0.0000 0.6938
I: 0.1077 0.6078 0.4139
I: 0.1078 0.6077 0.9139
I: 0.1938 0.1078 0.0000
I: 0.1938 0.1938 0.5861
I: 0.1938 0.5000 0.6077
I: 0.1938 0.5861 0.1938
I: 0.3062 0.3062 0.9139
I: 0.3062 0.5000 0.3922
I: 0.3062 0.8923 0.0000
I: 0.3062 0.9139 0.3062
I: 0.3923 0.0861 0.8922
I: 0.3922 0.3062 0.5000
I: 0.3922 0.5861 0.8923
I: 0.3923 0.8062 0.5000
I: 0.4139 0.1077 0.6078
I: 0.4139 0.8062 0.8062
I: 0.5000 0.3922 0.3062
I: 0.5000 0.3923 0.8062
I: 0.5000 0.6077 0.1938
I: 0.5000 0.6078 0.6938
I: 0.5861 0.1938 0.1938
I: 0.5861 0.8923 0.3922
I: 0.6077 0.1938 0.5000
I: 0.6078 0.4139 0.1077
I: 0.6078 0.6938 0.5000
I: 0.6077 0.9139 0.1078
I: 0.6938 0.0861 0.6938
I: 0.6938 0.1077 0.0000
I: 0.6938 0.5000 0.6078
I: 0.6938 0.6938 0.0861
I: 0.8062 0.4139 0.8062
I: 0.8062 0.5000 0.3923
I: 0.8062 0.8062 0.4139
I: 0.8062 0.8922 0.0000
I: 0.8923 0.0000 0.3062
I: 0.8922 0.0000 0.8062
I: 0.8922 0.3923 0.0861
I: 0.8923 0.3922 0.5861
I: 0.9139 0.1078 0.6077
I: 0.9139 0.3062 0.3062